A plane-wave DFT calculation with PBE was carried out for a relaxed structure of Sb2TeMoN.

Summary:
For the volume, the calculation gives 137.1 Å³/f.u. As for the crystal system: tetragonal. The calculation puts the energy above the most stable polymorph in this dataset at 14.25 kcal/mol of atoms. The symmetry is No. 123. The formation energy from raw total energies is 7.63 eV per formula unit. As for the total magnetic moment: 0.000 μB/atom.

Unit cell a=5.172 b=5.172 c=5.126 alpha=90.00 beta=90.00 gamma=90.00
Positions (direct):
Sb  0.000  0.500  0.000
Sb  0.500  0.000  0.000
Te  0.000  0.000  0.500
Mo  0.000  0.000  0.000
N  0.500  0.500  0.500